This record from Alexandria describes crystalline PaVO4F at its relaxed geometry. The functional is PBE+U.

Output
DFT total energy: -117.87 eV for the cell shown
crystal system: monoclinic
SG: C2/m (12)
theoretical density: 5508 kg/m³
M_tot: 1.00 μB/f.u.

Geometry as POSCAR:
```
PaVO4F
1.0
4.827 -3.457 0.000
4.827 3.457 0.000
-2.083 0.000 6.594
Pa V O F
2 2 8 2
Direct
0.220 0.220 0.112 Pa
0.780 0.780 0.888 Pa
0.354 0.354 0.698 V
0.646 0.646 0.302 V
0.105 0.485 0.853 O
0.249 0.249 0.443 O
0.454 0.454 0.234 O
0.485 0.105 0.853 O
0.515 0.895 0.147 O
0.546 0.546 0.766 O
0.751 0.751 0.557 O
0.895 0.515 0.147 O
0.018 0.018 0.833 F
0.982 0.982 0.167 F
```